This record from the Alexandria database describes an optimized crystal structure of Ho3TiAg3Te8. The functional is PBE.

Cell and atoms, written as POSCAR:
```
Ho3TiAg3Te8
1.0
7.421 -4.284 0.000
7.421 4.284 0.000
-4.963 0.000 7.170
Ho Ti Ag Te
3 1 3 8
direct
0.000 0.000 0.000
0.000 0.500 0.000
0.500 0.000 0.000
0.500 0.500 0.000
0.000 0.500 0.500
0.500 0.000 0.500
0.500 0.500 0.500
0.252 0.252 0.257
0.266 0.266 0.764
0.266 0.731 0.764
0.269 0.734 0.236
0.731 0.266 0.764
0.734 0.269 0.236
0.734 0.734 0.236
0.748 0.748 0.743
```

Properties
Its density is 6.9 g/cm3. For the total moment, the calculation gives 0.08 Bohr magnetons per cell. The total energy comes out at -4.449 eV/atom. As for the density of states at the Fermi level: 1.649 states/eV per cell.

***

This record from the Alexandria database describes an optimized crystal structure of Ho2TlAgTe4. The functional is PBE.

Cell and atoms, written as POSCAR:
```
Ho2TlAgTe4
1.0
2.204 -7.441 0.000
2.204 7.441 0.000
0.000 0.000 15.730
Ho Tl Ag Te
4 2 2 8
direct
0.130 0.870 0.571
0.130 0.870 0.929
0.870 0.130 0.071
0.870 0.130 0.429
0.369 0.631 0.750
0.631 0.369 0.250
0.341 0.659 0.250
0.659 0.341 0.750
0.045 0.955 0.750
0.231 0.769 0.105
0.231 0.769 0.395
0.500 0.500 0.000
0.500 0.500 0.500
0.769 0.231 0.605
0.769 0.231 0.895
0.955 0.045 0.250
```

Properties
Its density is 7.4 g/cm3. For the total moment, the calculation gives 0.00 Bohr magnetons per cell. The total energy comes out at -4.318 eV/atom.

***

This record from the Alexandria database describes an optimized crystal structure of Ho2UAg3Te6. The functional is PBE.

Cell and atoms, written as POSCAR:
```
Ho2UAg3Te6
1.0
8.607 -2.218 0.000
8.607 2.218 0.000
-3.039 0.000 10.211
Ho U Ag Te
2 1 3 6
direct
0.162 0.162 0.333
0.838 0.838 0.667
0.500 0.500 0.000
0.176 0.176 0.971
0.500 0.500 0.500
0.824 0.824 0.029
0.019 0.019 0.799
0.307 0.307 0.852
0.343 0.343 0.473
0.657 0.657 0.527
0.693 0.693 0.148
0.981 0.981 0.201
```

Properties
Its density is 7.1 g/cm3. For the total moment, the calculation gives 3.01 Bohr magnetons per cell. The total energy comes out at -4.665 eV/atom. As for the density of states at the Fermi level: 3.951 states/eV per cell.

***

This record from the Alexandria database describes an optimized crystal structure of Ho3UAg3Te8. The functional is PBE.

Cell and atoms, written as POSCAR:
```
Ho3UAg3Te8
1.0
7.419 -4.387 0.000
7.419 4.387 0.000
-4.850 0.000 7.149
Ho U Ag Te
3 1 3 8
direct
0.000 0.000 0.000
0.000 0.500 0.500
0.500 0.000 0.500
0.500 0.500 0.000
0.000 0.500 0.000
0.500 0.000 0.000
0.500 0.500 0.500
0.248 0.248 0.748
0.248 0.751 0.250
0.249 0.752 0.750
0.252 0.252 0.249
0.748 0.748 0.751
0.751 0.248 0.250
0.752 0.249 0.750
0.752 0.752 0.252
```

Properties
Its density is 7.4 g/cm3. For the total moment, the calculation gives 2.00 Bohr magnetons per cell. The total energy comes out at -4.689 eV/atom. As for the density of states at the Fermi level: 5.270 states/eV per cell.

***

This record from the Alexandria database describes an optimized crystal structure of YHo2Ag3Te6. The functional is PBE.

Cell and atoms, written as POSCAR:
```
YHo2Ag3Te6
1.0
9.449 -2.199 0.000
9.449 2.199 0.000
-1.791 0.000 8.474
Y Ho Ag Te
1 2 3 6
direct
0.000 0.000 0.000
0.333 0.333 0.672
0.667 0.667 0.328
0.000 0.000 0.500
0.330 0.330 0.179
0.670 0.670 0.821
0.165 0.165 0.579
0.168 0.168 0.077
0.500 0.500 0.253
0.500 0.500 0.747
0.832 0.832 0.923
0.835 0.835 0.421
```

Properties
Its density is 7.1 g/cm3. For the total moment, the calculation gives 0.00 Bohr magnetons per cell. The total energy comes out at -4.417 eV/atom.

***

This record from the Alexandria database describes an optimized crystal structure of Y2HoAg3Te6. The functional is PBE.

Cell and atoms, written as POSCAR:
```
Y2HoAg3Te6
1.0
9.952 -2.189 0.000
9.952 2.189 0.000
-1.964 0.000 8.224
Y Ho Ag Te
2 1 3 6
direct
0.173 0.173 0.307
0.827 0.827 0.693
0.500 0.500 0.000
0.205 0.205 0.783
0.500 0.500 0.500
0.795 0.795 0.217
0.014 0.014 0.261
0.336 0.336 0.433
0.342 0.342 0.961
0.658 0.658 0.039
0.664 0.664 0.567
0.986 0.986 0.739
```

Properties
Its density is 6.6 g/cm3. For the total moment, the calculation gives 0.00 Bohr magnetons per cell. The total energy comes out at -4.592 eV/atom.

***

This record from the Alexandria database describes an optimized crystal structure of HoTh2Ag. The functional is PBE.

Cell and atoms, written as POSCAR:
```
HoTh2Ag
1.0
3.534 0.000 0.000
0.000 3.534 0.000
0.000 0.000 9.374
Ho Th Ag
1 2 1
direct
0.000 0.000 0.000
0.500 0.500 0.274
0.500 0.500 0.726
0.000 0.000 0.500
```

Properties
Its density is 10.4 g/cm3. The excess energy over the best structure of this formula in the dataset is 0.00 kJ/mol of atoms. For the total moment, the calculation gives 0.00 Bohr magnetons per cell. The total energy comes out at -5.541 eV/atom. As for the density of states at the Fermi level: 4.825 states/eV per cell. The formation enthalpy at 0 K is 2.52 kJ/mol of atoms.

***

This record from the Alexandria database describes an optimized crystal structure of HoTh2Ag. The functional is PBE.

Cell and atoms, written as POSCAR:
```
HoTh2Ag
1.0
7.698 0.000 0.000
0.000 7.698 0.000
0.000 0.000 7.698
Ho Th Ag
4 8 4
direct
0.000 0.000 0.000
0.000 0.500 0.500
0.500 0.000 0.500
0.500 0.500 0.000
0.250 0.250 0.250
0.250 0.250 0.750
0.250 0.750 0.250
0.250 0.750 0.750
0.750 0.250 0.250
0.750 0.250 0.750
0.750 0.750 0.250
0.750 0.750 0.750
0.000 0.000 0.500
0.000 0.500 0.000
0.500 0.000 0.000
0.500 0.500 0.500
```

Properties
Its density is 10.7 g/cm3. The excess energy over the best structure of this formula in the dataset is 12.55 kJ/mol of atoms. For the total moment, the calculation gives 0.00 Bohr magnetons per cell. The total energy comes out at -5.411 eV/atom. As for the density of states at the Fermi level: 28.634 states/eV per cell. The formation enthalpy at 0 K is 15.07 kJ/mol of atoms.

***

This record from the Alexandria database describes an optimized crystal structure of Ho2ThAg. The functional is PBE.

Cell and atoms, written as POSCAR:
```
Ho2ThAg
1.0
3.533 0.000 0.000
-1.767 3.060 0.000
0.000 0.000 31.623
Ho Th Ag
6 3 3
direct
0.000 0.000 0.000
0.000 0.000 0.185
0.333 0.667 0.667
0.333 0.667 0.852
0.667 0.333 0.333
0.667 0.333 0.519
0.000 0.000 0.759
0.333 0.667 0.426
0.667 0.333 0.093
0.000 0.000 0.593
0.333 0.667 0.259
0.667 0.333 0.926
```

Properties
Its density is 9.8 g/cm3. The excess energy over the best structure of this formula in the dataset is 15.78 kJ/mol of atoms. For the total moment, the calculation gives 0.00 Bohr magnetons per cell. The total energy comes out at -4.841 eV/atom. As for the density of states at the Fermi level: 18.154 states/eV per cell. The formation enthalpy at 0 K is 1.54 kJ/mol of atoms.

***

This record from the Alexandria database describes an optimized crystal structure of HoThAg3. The functional is PBE.

Cell and atoms, written as POSCAR:
```
HoThAg3
1.0
1.714 -14.253 0.000
1.714 14.253 0.000
0.000 0.000 4.852
Ho Th Ag
2 2 6
direct
0.211 0.789 0.750
0.789 0.211 0.250
0.075 0.925 0.250
0.925 0.075 0.750
0.322 0.678 0.750
0.377 0.623 0.250
0.476 0.524 0.250
0.524 0.476 0.750
0.623 0.377 0.750
0.678 0.322 0.250
```

Properties
Its density is 10.1 g/cm3. For the total moment, the calculation gives 0.00 Bohr magnetons per cell. The total energy comes out at -4.303 eV/atom. As for the density of states at the Fermi level: 6.948 states/eV per cell. The formation enthalpy at 0 K is -18.57 kJ/mol of atoms.

***

This record from the Alexandria database describes an optimized crystal structure of Ho2ThAg. The functional is PBE.

Cell and atoms, written as POSCAR:
```
Ho2ThAg
1.0
3.618 0.000 0.000
0.000 3.618 0.000
0.000 0.000 8.375
Ho Th Ag
2 1 1
direct
0.000 0.000 0.216
0.000 0.000 0.784
0.500 0.500 0.500
0.500 0.500 0.000
```

Properties
Its density is 10.1 g/cm3. The excess energy over the best structure of this formula in the dataset is 0.00 kJ/mol of atoms. For the total moment, the calculation gives 0.00 Bohr magnetons per cell. The total energy comes out at -5.004 eV/atom. As for the density of states at the Fermi level: 4.706 states/eV per cell. The formation enthalpy at 0 K is -14.23 kJ/mol of atoms.

***

This record from the Alexandria database describes an optimized crystal structure of Ho2ThAg. The functional is PBE.

Cell and atoms, written as POSCAR:
```
Ho2ThAg
1.0
3.556 0.000 0.000
-1.778 3.080 0.000
0.000 0.000 31.063
Ho Th Ag
6 3 3
direct
0.000 0.000 0.242
0.000 0.000 0.758
0.333 0.667 0.425
0.333 0.667 0.909
0.667 0.333 0.091
0.667 0.333 0.575
0.000 0.000 0.000
0.333 0.667 0.667
0.667 0.333 0.333
0.000 0.000 0.500
0.333 0.667 0.167
0.667 0.333 0.833
```

Properties
Its density is 9.8 g/cm3. The excess energy over the best structure of this formula in the dataset is 12.40 kJ/mol of atoms. For the total moment, the calculation gives 0.00 Bohr magnetons per cell. The total energy comes out at -4.876 eV/atom. As for the density of states at the Fermi level: 15.467 states/eV per cell. The formation enthalpy at 0 K is -1.84 kJ/mol of atoms.

***

This record from the Alexandria database describes an optimized crystal structure of Ho2ThAg. The functional is PBE.

Cell and atoms, written as POSCAR:
```
Ho2ThAg
1.0
5.548 0.000 0.000
0.000 5.548 0.000
0.000 0.000 3.579
Ho Th Ag
2 1 1
direct
0.000 0.500 0.000
0.500 0.000 0.000
0.000 0.000 0.500
0.500 0.500 0.500
```

Properties
Its density is 10.1 g/cm3. The excess energy over the best structure of this formula in the dataset is 18.41 kJ/mol of atoms. For the total moment, the calculation gives 0.00 Bohr magnetons per cell. The total energy comes out at -4.813 eV/atom. As for the density of states at the Fermi level: 5.655 states/eV per cell. The formation enthalpy at 0 K is 4.18 kJ/mol of atoms.

***

This record from the Alexandria database describes an optimized crystal structure of Ho2ThAg3. The functional is PBE.

Cell and atoms, written as POSCAR:
```
Ho2ThAg3
1.0
3.585 0.000 0.000
0.000 3.585 0.000
0.000 0.000 11.421
Ho Th Ag
2 1 3
direct
0.000 0.000 0.160
0.000 0.000 0.840
0.000 0.000 0.500
0.500 0.500 0.000
0.500 0.500 0.315
0.500 0.500 0.685
```

Properties
Its density is 10.0 g/cm3. For the total moment, the calculation gives 0.00 Bohr magnetons per cell. The total energy comes out at -4.417 eV/atom. As for the density of states at the Fermi level: 4.825 states/eV per cell. The formation enthalpy at 0 K is -22.05 kJ/mol of atoms.

***

This record from the Alexandria database describes an optimized crystal structure of Ho4ThAg5. The functional is PBE.

Cell and atoms, written as POSCAR:
```
Ho4ThAg5
1.0
3.596 0.000 0.000
0.000 3.596 0.000
0.000 0.000 18.679
Ho Th Ag
4 1 5
direct
0.000 0.000 0.098
0.000 0.000 0.294
0.000 0.000 0.706
0.000 0.000 0.902
0.000 0.000 0.500
0.500 0.500 0.000
0.500 0.500 0.196
0.500 0.500 0.388
0.500 0.500 0.612
0.500 0.500 0.804
```

Properties
Its density is 9.8 g/cm3. For the total moment, the calculation gives 0.00 Bohr magnetons per cell. The total energy comes out at -4.268 eV/atom. As for the density of states at the Fermi level: 6.544 states/eV per cell. The formation enthalpy at 0 K is -26.02 kJ/mol of atoms.

***

This record from the Alexandria database describes an optimized crystal structure of Ho2ThTl2Ag2. The functional is PBE.

Cell and atoms, written as POSCAR:
```
Ho2ThTl2Ag2
1.0
2.454 1.417 8.609
-2.454 1.417 8.609
0.000 -2.834 8.609
Ho Th Tl Ag
2 1 2 2
direct
0.134 0.134 0.134
0.866 0.866 0.866
0.000 0.000 0.000
0.266 0.266 0.266
0.734 0.734 0.734
0.438 0.438 0.438
0.562 0.562 0.562
```

Properties
Its density is 11.0 g/cm3. For the total moment, the calculation gives 0.00 Bohr magnetons per cell. The total energy comes out at -3.988 eV/atom. As for the density of states at the Fermi level: 4.329 states/eV per cell. The formation enthalpy at 0 K is -12.49 kJ/mol of atoms.

***

This record from the Alexandria database describes an optimized crystal structure of HoThTlAg. The functional is PBE.

Cell and atoms, written as POSCAR:
```
HoThTlAg
1.0
7.563 0.000 0.000
0.000 7.563 0.000
0.000 0.000 7.563
Ho Th Tl Ag
4 4 4 4
direct
0.000 0.000 0.000
0.000 0.500 0.500
0.500 0.000 0.500
0.500 0.500 0.000
0.000 0.000 0.500
0.000 0.500 0.000
0.500 0.000 0.000
0.500 0.500 0.500
0.250 0.250 0.750
0.250 0.750 0.250
0.750 0.250 0.250
0.750 0.750 0.750
0.250 0.250 0.250
0.250 0.750 0.750
0.750 0.250 0.750
0.750 0.750 0.250
```

Properties
Its density is 10.9 g/cm3. For the total moment, the calculation gives 3.54 Bohr magnetons per cell. The total energy comes out at -4.466 eV/atom. As for the density of states at the Fermi level: 13.217 states/eV per cell. The formation enthalpy at 0 K is -15.69 kJ/mol of atoms.

***

This record from the Alexandria database describes an optimized crystal structure of Ho2TiAg. The functional is PBE.

Cell and atoms, written as POSCAR:
```
Ho2TiAg
1.0
3.214 0.000 0.000
-1.607 2.783 0.000
0.000 0.000 32.954
Ho Ti Ag
6 3 3
direct
0.000 0.000 0.089
0.000 0.000 0.911
0.333 0.667 0.578
0.333 0.667 0.756
0.667 0.333 0.244
0.667 0.333 0.422
0.000 0.000 0.000
0.333 0.667 0.667
0.667 0.333 0.333
0.000 0.000 0.500
0.333 0.667 0.167
0.667 0.333 0.833
```

Properties
Its density is 8.2 g/cm3. The excess energy over the best structure of this formula in the dataset is 40.91 kJ/mol of atoms. For the total moment, the calculation gives 5.65 Bohr magnetons per cell. The total energy comes out at -4.592 eV/atom. As for the density of states at the Fermi level: 16.795 states/eV per cell. The formation enthalpy at 0 K is 36.98 kJ/mol of atoms.

***

This record from the Alexandria database describes an optimized crystal structure of Ho2TiAg. The functional is PBE.

Cell and atoms, written as POSCAR:
```
Ho2TiAg
1.0
3.398 0.000 0.000
0.000 3.398 0.000
0.000 0.000 8.204
Ho Ti Ag
2 1 1
direct
0.000 0.000 0.248
0.000 0.000 0.752
0.500 0.500 0.500
0.500 0.500 0.000
```

Properties
Its density is 8.5 g/cm3. The excess energy over the best structure of this formula in the dataset is 0.00 kJ/mol of atoms. For the total moment, the calculation gives 0.00 Bohr magnetons per cell. The total energy comes out at -5.016 eV/atom. As for the density of states at the Fermi level: 3.653 states/eV per cell. The formation enthalpy at 0 K is -3.92 kJ/mol of atoms.

***

This record from the Alexandria database describes an optimized crystal structure of Ho2TiAg. The functional is PBE.

Cell and atoms, written as POSCAR:
```
Ho2TiAg
1.0
5.098 0.000 0.000
0.000 5.098 0.000
0.000 0.000 3.675
Ho Ti Ag
2 1 1
direct
0.000 0.500 0.000
0.500 0.000 0.000
0.000 0.000 0.500
0.500 0.500 0.500
```

Properties
Its density is 8.4 g/cm3. The excess energy over the best structure of this formula in the dataset is 7.19 kJ/mol of atoms. For the total moment, the calculation gives 2.39 Bohr magnetons per cell. The total energy comes out at -4.942 eV/atom. As for the density of states at the Fermi level: 5.804 states/eV per cell. The formation enthalpy at 0 K is 3.26 kJ/mol of atoms.